Run P
This record from Alexandria via LeMat-Bulk describes an optimized crystal structure of Be2SI. The functional is GGA-PBE.

The space group is Fm-3m (No. 225) and the conventional cell measures 6.4374, 6.4374 and 6.4374 Å, with angles of 90.00, 90.00 and 90.00 degrees. The inequivalent atoms are Be at (0.2500, 0.2500, 0.2500), S at (0.0000, 0.0000, 0.0000) and I at (0.0000, 0.0000, 0.5000).

***

Run Q
This record from Alexandria via LeMat-Bulk describes an optimized crystal structure of Be2SI. The functional is GGA-PBE.

The space group is I-42d (No. 122) and the conventional cell measures 5.5565, 5.5565 and 9.6802 Å, with angles of 90.00, 90.00 and 90.00 degrees. The inequivalent atoms are Be at (0.1660, 0.2500, 0.1250), S at (0.0000, 0.0000, 0.0000) and I at (0.0000, 0.0000, 0.5000).

***

Of them, the most stable is run Q and the least stable is run P.

***

Run P
This record from Alexandria via LeMat-Bulk describes an optimized crystal structure of YBe2SI. The functional is GGA-PBE.

The space group is P4/mmm (No. 123) and the conventional cell measures 4.5630, 4.5630 and 5.9142 Å, with angles of 90.00, 90.00 and 90.00 degrees. The inequivalent atoms are Y at (0.0000, 0.0000, 0.0000), Be at (0.0000, 0.5000, 0.5000), S at (0.5000, 0.5000, 0.0000) and I at (0.0000, 0.0000, 0.5000).

***

Run Q
This record from Alexandria via LeMat-Bulk describes an optimized crystal structure of YBe2SI. The functional is GGA-PBE.

The space group is P4/mmm (No. 123) and the conventional cell measures 5.7949, 5.7949 and 4.9748 Å, with angles of 90.00, 90.00 and 90.00 degrees. The inequivalent atoms are Y at (0.0000, 0.0000, 0.0000), Be at (0.0000, 0.5000, 0.0000), S at (0.0000, 0.0000, 0.5000) and I at (0.5000, 0.5000, 0.5000).

***

Of them, the most stable is run Q and the least stable is run P.

***

Run P
This record from Alexandria via LeMat-Bulk describes an optimized crystal structure of ScBeSb2I. The functional is GGA-PBE.

The space group is P4/mmm (No. 123) and the conventional cell measures 4.8178, 4.8178 and 5.6236 Å, with angles of 90.00, 90.00 and 90.00 degrees. The inequivalent atoms are Sc at (0.0000, 0.0000, 0.0000), Be at (0.5000, 0.5000, 0.5000), Sb at (0.0000, 0.5000, 0.5000) and I at (0.5000, 0.5000, 0.0000).

***

Run Q
This record from Alexandria via LeMat-Bulk describes an optimized crystal structure of ScBeSb2I. The functional is GGA-PBE.

The space group is P4/mmm (No. 123) and the conventional cell measures 5.5623, 5.5623 and 5.5949 Å, with angles of 90.00, 90.00 and 90.00 degrees. The inequivalent atoms are Sc at (0.0000, 0.0000, 0.0000), Be at (0.5000, 0.5000, 0.5000), Sb at (0.0000, 0.5000, 0.0000) and I at (0.0000, 0.0000, 0.5000).

***

Of them, the most stable is run P and the least stable is run Q.

***

Run P
This record from Alexandria via LeMat-Bulk describes an optimized crystal structure of ScBeSbI2. The functional is GGA-PBE.

The space group is P4/mmm (No. 123) and the conventional cell measures 5.6177, 5.6177 and 5.7903 Å, with angles of 90.00, 90.00 and 90.00 degrees. The inequivalent atoms are Sc at (0.0000, 0.0000, 0.0000), Be at (0.5000, 0.5000, 0.5000), Sb at (0.0000, 0.0000, 0.5000) and I at (0.0000, 0.5000, 0.0000).

***

Run Q
This record from Alexandria via LeMat-Bulk describes an optimized crystal structure of ScBeSbI2. The functional is GGA-PBE.

The space group is P4/mmm (No. 123) and the conventional cell measures 5.0971, 5.0971 and 5.2535 Å, with angles of 90.00, 90.00 and 90.00 degrees. The inequivalent atoms are Sc at (0.0000, 0.0000, 0.0000), Be at (0.5000, 0.5000, 0.5000), Sb at (0.5000, 0.5000, 0.0000) and I at (0.0000, 0.5000, 0.5000).

***

Of them, the most stable is run Q and the least stable is run P.

***

Run P
This record from Alexandria via LeMat-Bulk describes an optimized crystal structure of SrBeSbI2. The functional is GGA-PBE.

The space group is P4/mmm (No. 123) and the conventional cell measures 5.4957, 5.4957 and 5.0905 Å, with angles of 90.00, 90.00 and 90.00 degrees. The inequivalent atoms are Sr at (0.0000, 0.0000, 0.0000), Be at (0.5000, 0.5000, 0.5000), Sb at (0.5000, 0.5000, 0.0000) and I at (0.0000, 0.5000, 0.5000).

***

Run Q
This record from Alexandria via LeMat-Bulk describes an optimized crystal structure of SrBeSbI2. The functional is GGA-PBE.

The space group is P4/mmm (No. 123) and the conventional cell measures 6.3167, 6.3167 and 6.7991 Å, with angles of 90.00, 90.00 and 90.00 degrees. The inequivalent atoms are Sr at (0.0000, 0.0000, 0.0000), Be at (0.5000, 0.5000, 0.5000), Sb at (0.0000, 0.0000, 0.5000) and I at (0.0000, 0.5000, 0.0000).

***

Of them, the most stable is run P and the least stable is run Q.

***

Run P
This record from Alexandria via LeMat-Bulk describes an optimized crystal structure of TaBeSb2I. The functional is GGA-PBE.

The space group is P4/mmm (No. 123) and the conventional cell measures 5.3540, 5.3540 and 5.6680 Å, with angles of 90.00, 90.00 and 90.00 degrees. The inequivalent atoms are Ta at (0.0000, 0.0000, 0.0000), Be at (0.5000, 0.5000, 0.5000), Sb at (0.0000, 0.5000, 0.0000) and I at (0.0000, 0.0000, 0.5000).

***

Run Q
This record from Alexandria via LeMat-Bulk describes an optimized crystal structure of TaBeSb2I. The functional is GGA-PBE.

The space group is P4/mmm (No. 123) and the conventional cell measures 4.7878, 4.7878 and 5.2330 Å, with angles of 90.00, 90.00 and 90.00 degrees. The inequivalent atoms are Ta at (0.0000, 0.0000, 0.0000), Be at (0.5000, 0.5000, 0.5000), Sb at (0.0000, 0.5000, 0.5000) and I at (0.5000, 0.5000, 0.0000).

***

Of them, the most stable is run P and the least stable is run Q.

***

Run P
This record from Alexandria via LeMat-Bulk describes an optimized crystal structure of BeTcSb2I. The functional is GGA-PBE.

The space group is P4/mmm (No. 123) and the conventional cell measures 5.0560, 5.0560 and 5.8818 Å, with angles of 90.00, 90.00 and 90.00 degrees. The inequivalent atoms are Be at (0.0000, 0.0000, 0.0000), Tc at (0.5000, 0.5000, 0.5000), Sb at (0.0000, 0.5000, 0.5000) and I at (0.5000, 0.5000, 0.0000).

***

Run Q
This record from Alexandria via LeMat-Bulk describes an optimized crystal structure of BeTcSb2I. The functional is GGA-PBE.

The space group is P4/mmm (No. 123) and the conventional cell measures 4.8428, 4.8428 and 5.2592 Å, with angles of 90.00, 90.00 and 90.00 degrees. The inequivalent atoms are Be at (0.0000, 0.0000, 0.0000), Tc at (0.5000, 0.5000, 0.5000), Sb at (0.0000, 0.5000, 0.0000) and I at (0.0000, 0.0000, 0.5000).

***

Of them, the most stable is run P and the least stable is run Q.

***

Run P
This record from Alexandria via LeMat-Bulk describes an optimized crystal structure of BeSbTeI2. The functional is GGA-PBE.

The space group is P4/mmm (No. 123) and the conventional cell measures 5.0723, 5.0723 and 5.4588 Å, with angles of 90.00, 90.00 and 90.00 degrees. The inequivalent atoms are Be at (0.0000, 0.0000, 0.0000), Sb at (0.5000, 0.5000, 0.5000), Te at (0.0000, 0.0000, 0.5000) and I at (0.0000, 0.5000, 0.0000).

***

Run Q
This record from Alexandria via LeMat-Bulk describes an optimized crystal structure of BeSbTeI2. The functional is GGA-PBE.

The space group is P4/mmm (No. 123) and the conventional cell measures 6.0838, 6.0838 and 6.0703 Å, with angles of 90.00, 90.00 and 90.00 degrees. The inequivalent atoms are Be at (0.0000, 0.0000, 0.0000), Sb at (0.5000, 0.5000, 0.0000), Te at (0.5000, 0.5000, 0.5000) and I at (0.0000, 0.5000, 0.5000).

***

Of them, the most stable is run P and the least stable is run Q.